Density functional theory data (PBE+U) for a geometry-optimized NbMo2F structure.

a = 4.620 Å, b = 4.620 Å, c = 4.620 Å
α = 60.00°, β = 60.00°, γ = 60.00°
Each line ends with the local moment (μB).
Sites, in units of the cell vectors:
Mo1 0.250 0.250 0.250  2.81
Mo2 0.750 0.750 0.750  2.81
Nb1 0.500 0.500 0.500  -1.33
F1 0.000 0.000 0.000  0.12

Properties
M_tot = 4.814 Bohr magnetons per cell
Space group = Fm-3m, No. 225
DOS at the Fermi energy = 2.770 states/eV per cell
E_tot = -5.66 eV per atom
Distance to the lowest polymorph of the same formula = 110 meV/atom